VASP calculation (GGA-PBE) on a relaxed LaNi3C crystal.

Results
Energy above the lowest structure with this stoichiometry (eV/atom): 0.0000
N(E_F) (states/eV/atom): 0.96
Formation energy from the elements (eV/atom): -0.027

Unit cell a=4.0667 b=4.0667 c=4.0667 alpha=90.00 beta=90.00 gamma=90.00
With the nearest neighbours (Å) after each atom.
Atoms (fractional coordinates):
La1 0.0000 0.0000 0.0000  12 Ni 2.88
Ni1 0.0000 0.5000 0.5000  2 C 2.03
Ni2 0.5000 0.0000 0.5000  2 C 2.03
Ni3 0.5000 0.5000 0.0000  2 C 2.03
C1 0.5000 0.5000 0.5000  6 Ni 2.03